Model w:
# Pm4HgIr

An optimized crystal structure of Pm4HgIr (PBE-GGA, Alexandria via LeMat-Bulk).

Results
DOS at the Fermi energy = 1.16 states/eV/atom
SG = C2/c (15)

Unit cell a=6.153 b=8.488 c=8.276 alpha=114.18 beta=103.27 gamma=106.11
Sites, in units of the cell vectors:
Pm1 0.044 0.210 0.859
Pm2 0.781 0.706 0.640
Pm3 0.316 0.650 0.859
Pm4 0.359 0.934 0.640
Pm5 0.641 0.066 0.360
Pm6 0.684 0.350 0.141
Pm7 0.219 0.294 0.360
Pm8 0.956 0.790 0.141
Hg1 0.374 0.624 0.248
Hg2 0.626 0.376 0.752
Ir1 0.250 0.000 0.000
Ir2 0.750 0.000 0.000



Model x:
# Pm4HgIr

An optimized crystal structure of Pm4HgIr (PBE-GGA, Alexandria via LeMat-Bulk).

Results
DOS at the Fermi energy = 0.75 states/eV/atom
SG = F-43m (216)

Unit cell a=9.853 b=9.853 c=9.853 alpha=60.00 beta=60.00 gamma=60.00
Sites, in units of the cell vectors:
Pm1 0.400 0.400 0.400
Pm2 0.800 0.400 0.400
Pm3 0.400 0.800 0.400
Pm4 0.400 0.400 0.800
Pm5 0.559 0.559 0.941
Pm6 0.941 0.941 0.559
Pm7 0.559 0.941 0.559
Pm8 0.941 0.559 0.941
Pm9 0.941 0.559 0.559
Pm10 0.559 0.941 0.941
Pm11 0.189 0.189 0.811
Pm12 0.811 0.811 0.189
Pm13 0.189 0.811 0.189
Pm14 0.811 0.189 0.811
Pm15 0.811 0.189 0.189
Pm16 0.189 0.811 0.811
Hg1 0.166 0.166 0.166
Hg2 0.502 0.166 0.166
Hg3 0.166 0.502 0.166
Hg4 0.166 0.166 0.502
Ir1 0.608 0.608 0.608
Ir2 0.175 0.608 0.608
Ir3 0.608 0.175 0.608
Ir4 0.608 0.608 0.175



Which is most stable? The ranking, best first, is model x, model w.



Model w:
# Pm4HgIr2

An optimized crystal structure of Pm4HgIr2 (PBE-GGA, Alexandria via LeMat-Bulk).

Results
DOS at the Fermi energy = 0.76 states/eV/atom
SG = Fdd2 (43)

Unit cell a=7.130 b=7.130 c=8.705 alpha=108.00 beta=108.00 gamma=104.21
Sites, in units of the cell vectors:
Pm1 0.987 0.221 0.358
Pm2 0.414 0.482 0.234
Pm3 0.862 0.629 0.642
Pm4 0.732 0.164 0.734
Pm5 0.430 0.998 0.266
Pm6 0.248 0.180 0.766
Pm7 0.471 0.737 0.858
Pm8 0.879 0.612 0.142
Hg1 0.248 0.748 0.500
Hg2 0.998 0.998 0.000
Ir1 0.448 0.354 0.563
Ir2 0.791 0.885 0.437
Ir3 0.604 0.198 0.063
Ir4 0.135 0.541 0.937



Model x:
# Pm4HgIr2

An optimized crystal structure of Pm4HgIr2 (PBE-GGA, Alexandria via LeMat-Bulk).

Results
DOS at the Fermi energy = 0.86 states/eV/atom
SG = I-42d (122)

Unit cell a=7.829 b=7.829 c=7.829 alpha=108.96 beta=110.49 gamma=108.96
Sites, in units of the cell vectors:
Pm1 0.150 0.892 0.396
Pm2 0.604 0.754 0.496
Pm3 0.008 0.608 0.754
Pm4 0.246 0.254 0.854
Pm5 0.600 0.746 0.992
Pm6 0.742 0.246 0.850
Pm7 0.504 0.108 0.258
Pm8 0.146 0.392 0.400
Hg1 0.000 0.000 0.000
Hg2 0.750 0.500 0.250
Ir1 0.875 0.121 0.496
Ir2 0.504 0.379 0.625
Ir3 0.375 0.879 0.754
Ir4 0.246 0.621 0.125



Which is most stable? The ranking, best first, is model w, model x.



Model w:
# Pr3HgIr

An optimized crystal structure of Pr3HgIr (PBE-GGA, Alexandria via LeMat-Bulk).

Results
DOS at the Fermi energy = 0.95 states/eV/atom
SG = Pm-3m (221)

Unit cell a=5.588 b=5.588 c=5.588 alpha=90.00 beta=90.00 gamma=90.00
Sites, in units of the cell vectors:
Pr1 0.000 0.500 0.000
Pr2 0.000 0.000 0.500
Pr3 0.500 0.000 0.000
Ir1 0.000 0.000 0.000
Hg1 0.500 0.500 0.500



Model x:
# Pr3HgIr

An optimized crystal structure of Pr3HgIr (PBE-GGA, Alexandria via LeMat-Bulk).

Results
DOS at the Fermi energy = 0.94 states/eV/atom
SG = Pnma (62)

Unit cell a=4.788 b=8.379 c=14.716 alpha=90.00 beta=90.00 gamma=90.00
Sites, in units of the cell vectors:
Pr1 0.250 0.358 0.517
Pr2 0.750 0.834 0.214
Pr3 0.750 0.496 0.890
Pr4 0.750 0.996 0.610
Pr5 0.750 0.642 0.483
Pr6 0.250 0.004 0.390
Pr7 0.250 0.858 0.983
Pr8 0.750 0.334 0.286
Pr9 0.250 0.666 0.714
Pr10 0.250 0.166 0.786
Pr11 0.750 0.142 0.017
Pr12 0.250 0.504 0.110
Hg1 0.750 0.880 0.827
Hg2 0.250 0.120 0.173
Hg3 0.750 0.380 0.673
Hg4 0.250 0.620 0.327
Ir1 0.250 0.306 0.952
Ir2 0.250 0.806 0.548
Ir3 0.750 0.194 0.452
Ir4 0.750 0.694 0.048



Which is most stable? The ranking, best first, is model x, model w.



Model w:
# PrSmHgIr

An optimized crystal structure of PrSmHgIr (PBE-GGA, Alexandria via LeMat-Bulk).

Results
DOS at the Fermi energy = 0.65 states/eV/atom
SG = F-43m (216)

Unit cell a=5.194 b=5.194 c=5.194 alpha=60.00 beta=60.00 gamma=60.00
Sites, in units of the cell vectors:
Pr1 0.250 0.250 0.250
Ir1 0.000 0.000 0.000
Hg1 0.500 0.500 0.500
Sm1 0.750 0.750 0.750



Model x:
# PrSmHgIr

An optimized crystal structure of PrSmHgIr (PBE-GGA, Alexandria via LeMat-Bulk).

Results
DOS at the Fermi energy = 0.80 states/eV/atom
SG = Pmm2 (25)

Unit cell a=3.711 b=5.197 c=5.134 alpha=90.00 beta=90.00 gamma=90.00
Sites, in units of the cell vectors:
Pr1 0.500 0.000 0.803
Sm1 0.500 0.500 0.305
Hg1 0.000 0.500 0.807
Ir1 0.000 0.000 0.300



Which is most stable? The ranking, best first, is model w, model x.



Model w:
# HgIr2Pt2

An optimized crystal structure of HgIr2Pt2 (PBE-GGA, Alexandria via LeMat-Bulk).

Results
DOS at the Fermi energy = 1.70 states/eV/atom
SG = P4/mbm (127)

Unit cell a=7.784 b=7.784 c=2.810 alpha=90.00 beta=90.00 gamma=90.00
Sites, in units of the cell vectors:
Ir1 0.378 0.878 0.000
Ir2 0.878 0.622 0.000
Ir3 0.622 0.122 0.000
Ir4 0.122 0.378 0.000
Hg1 0.000 0.000 0.000
Hg2 0.500 0.500 0.000
Pt1 0.176 0.676 0.500
Pt2 0.676 0.824 0.500
Pt3 0.824 0.324 0.500
Pt4 0.324 0.176 0.500



Model x:
# HgIr2Pt2

An optimized crystal structure of HgIr2Pt2 (PBE-GGA, Alexandria via LeMat-Bulk).

Results
DOS at the Fermi energy = 1.44 states/eV/atom
SG = I4/mmm (139)

Unit cell a=3.793 b=3.793 c=6.770 alpha=73.73 beta=73.73 gamma=90.00
Sites, in units of the cell vectors:
Ir1 0.401 0.401 0.197
Ir2 0.599 0.599 0.803
Hg1 0.000 0.000 0.000
Pt1 0.750 0.250 0.500
Pt2 0.250 0.750 0.500



Which is most stable? The ranking, best first, is model w, model x.



Model w:
# PuThHgIr

An optimized crystal structure of PuThHgIr (PBE-GGA, Alexandria via LeMat-Bulk).

Results
DOS at the Fermi energy = 2.08 states/eV/atom
SG = F-43m (216)

Unit cell a=5.153 b=5.153 c=5.153 alpha=60.00 beta=60.00 gamma=60.00
Each line ends with the local moment (μB).
Sites, in units of the cell vectors:
Ir1 0.250 0.250 0.250  -0.16
Hg1 0.750 0.750 0.750  0.02
Th1 0.000 0.000 0.000  0.17
Pu1 0.500 0.500 0.500  5.33



Model x:
# PuThHgIr

An optimized crystal structure of PuThHgIr (PBE-GGA, Alexandria via LeMat-Bulk).

Results
DOS at the Fermi energy = 3.16 states/eV/atom
SG = R3m (160)

Unit cell a=4.153 b=4.153 c=7.951 alpha=90.00 beta=105.13 gamma=119.99
Each line ends with the local moment (μB).
Sites, in units of the cell vectors:
Pu1 0.104 0.950 0.070  5.23
Th1 0.506 0.151 0.671  0.05
Hg1 0.965 0.381 0.361  0.02
Ir1 0.303 0.549 0.867  -0.11



Which is most stable? The ranking, best first, is model x, model w.



Model w:
# RbHgIr

An optimized crystal structure of RbHgIr (PBE-GGA, Alexandria via LeMat-Bulk).

Results
DOS at the Fermi energy = 0.59 states/eV/atom
SG = C2/m (12)

Unit cell a=8.230 b=4.816 c=12.126 alpha=90.00 beta=130.08 gamma=90.00
Sites, in units of the cell vectors:
Rb1 0.128 0.000 0.913
Rb2 0.872 0.000 0.087
Rb3 0.128 0.500 0.413
Rb4 0.872 0.500 0.587
Hg1 0.371 0.000 0.754
Hg2 0.629 0.000 0.246
Hg3 0.371 0.500 0.254
Hg4 0.629 0.500 0.746
Ir1 0.462 0.000 0.388
Ir2 0.538 0.000 0.612
Ir3 0.462 0.500 0.888
Ir4 0.538 0.500 0.112



Model x:
# RbHgIr

An optimized crystal structure of RbHgIr (PBE-GGA, Alexandria via LeMat-Bulk).

Results
DOS at the Fermi energy = 0.44 states/eV/atom
SG = P2_1/m (11)

Unit cell a=5.489 b=4.486 c=7.229 alpha=90.00 beta=92.15 gamma=90.00
Each line ends with the local moment (μB).
Sites, in units of the cell vectors:
Rb1 0.732 0.250 0.879  0.00
Rb2 0.268 0.750 0.121  0.00
Hg1 0.891 0.250 0.386  0.00
Hg2 0.109 0.750 0.614  0.00
Ir1 0.401 0.250 0.495  0.13
Ir2 0.599 0.750 0.505  0.13



Model y:
# RbHgIr

An optimized crystal structure of RbHgIr (PBE-GGA, Alexandria via LeMat-Bulk).

Results
DOS at the Fermi energy = 0.28 states/eV/atom
SG = P1 (1)

Unit cell a=4.475 b=5.812 c=7.023 alpha=94.12 beta=108.49 gamma=90.00
Sites, in units of the cell vectors:
Rb1 0.734 0.760 0.032
Rb2 0.154 0.262 0.866
Hg1 0.472 0.029 0.502
Hg2 0.875 0.289 0.306
Ir1 0.473 0.539 0.504
Ir2 0.002 0.698 0.561



Model z:
# RbHgIr

An optimized crystal structure of RbHgIr (PBE-GGA, Alexandria via LeMat-Bulk).

Results
DOS at the Fermi energy = 0.54 states/eV/atom
SG = C2/m (12)

Unit cell a=6.756 b=4.469 c=13.799 alpha=90.00 beta=113.50 gamma=90.00
Sites, in units of the cell vectors:
Rb1 0.211 0.000 0.382
Rb2 0.789 0.000 0.618
Rb3 0.211 0.500 0.882
Rb4 0.789 0.500 0.118
Hg1 0.198 0.000 0.094
Hg2 0.802 0.000 0.906
Hg3 0.198 0.500 0.594
Hg4 0.802 0.500 0.406
Ir1 0.571 0.000 0.275
Ir2 0.429 0.000 0.725
Ir3 0.571 0.500 0.775
Ir4 0.429 0.500 0.225



Which is most stable? The ranking, best first, is model z, model y, model x, model w.



Model w:
# RbHgIr3

An optimized crystal structure of RbHgIr3 (PBE-GGA, Alexandria via LeMat-Bulk).

Results
DOS at the Fermi energy = 2.55 states/eV/atom
SG = Pm-3m (221)

Unit cell a=5.121 b=5.121 c=5.121 alpha=90.00 beta=90.00 gamma=90.00
Each line ends with the local moment (μB).
Sites, in units of the cell vectors:
Ir1 0.000 0.500 0.000  1.13
Ir2 0.000 0.000 0.500  1.17
Ir3 0.500 0.000 0.000  0.75
Hg1 0.000 0.000 0.000  0.01
Rb1 0.500 0.500 0.500  0.00



Model x:
# RbHgIr3

An optimized crystal structure of RbHgIr3 (PBE-GGA, Alexandria via LeMat-Bulk).

Results
DOS at the Fermi energy = 1.39 states/eV/atom
SG = Pm-3m (221)

Unit cell a=4.890 b=4.890 c=4.890 alpha=90.00 beta=90.00 gamma=90.00
Each line ends with the local moment (μB).
Sites, in units of the cell vectors:
Ir1 0.000 0.500 0.000  0.52
Ir2 0.000 0.000 0.500  0.43
Ir3 0.500 0.000 0.000  0.39
Hg1 0.500 0.500 0.500  -0.01
Rb1 0.000 0.000 0.000  -0.01



Which is most stable? The ranking, best first, is model w, model x.



Model w:
# ReHgIr3

An optimized crystal structure of ReHgIr3 (PBE-GGA, Alexandria via LeMat-Bulk).

Results
DOS at the Fermi energy = 2.08 states/eV/atom
SG = Pm-3m (221)

Unit cell a=4.831 b=4.831 c=4.831 alpha=90.00 beta=90.00 gamma=90.00
Each line ends with the local moment (μB).
Sites, in units of the cell vectors:
Re1 0.500 0.500 0.500  2.85
Ir1 0.000 0.500 0.000  -0.09
Ir2 0.000 0.000 0.500  -0.13
Ir3 0.500 0.000 0.000  -0.06
Hg1 0.000 0.000 0.000  -0.02



Model x:
# ReHgIr3

An optimized crystal structure of ReHgIr3 (PBE-GGA, Alexandria via LeMat-Bulk).

Results
DOS at the Fermi energy = 1.08 states/eV/atom
SG = Pm-3m (221)

Unit cell a=4.763 b=4.763 c=4.763 alpha=90.00 beta=90.00 gamma=90.00
Sites, in units of the cell vectors:
Re1 0.000 0.000 0.000
Ir1 0.000 0.500 0.000
Ir2 0.000 0.000 0.500
Ir3 0.500 0.000 0.000
Hg1 0.500 0.500 0.500



Which is most stable? The ranking, best first, is model x, model w.



Model w:
# TiHgIrRu

An optimized crystal structure of TiHgIrRu (PBE-GGA, Alexandria via LeMat-Bulk).

Results
DOS at the Fermi energy = 1.40 states/eV/atom
SG = Imm2 (44)

Unit cell a=3.994 b=3.820 c=8.393 alpha=90.00 beta=90.00 gamma=90.00
Sites, in units of the cell vectors:
Ru1 0.000 0.000 0.951
Ru2 0.500 0.500 0.451
Ir1 0.000 0.500 0.216
Ir2 0.500 0.000 0.716
Hg1 0.000 0.000 0.473
Hg2 0.500 0.500 0.973
Ti1 0.000 0.500 0.728
Ti2 0.500 0.000 0.228



Model x:
# TiHgIrRu

An optimized crystal structure of TiHgIrRu (PBE-GGA, Alexandria via LeMat-Bulk).

Results
DOS at the Fermi energy = 0.69 states/eV/atom
SG = Cm (8)

Unit cell a=8.951 b=2.981 c=4.963 alpha=90.00 beta=94.56 gamma=90.00
Sites, in units of the cell vectors:
Ru1 0.459 0.000 0.385
Ru2 0.459 0.500 0.885
Ir1 0.018 0.000 0.125
Ir2 0.018 0.500 0.625
Hg1 0.735 0.000 0.746
Hg2 0.735 0.500 0.246
Ti1 0.243 0.000 0.833
Ti2 0.243 0.500 0.333



Model y:
# TiHgIrRu

An optimized crystal structure of TiHgIrRu (PBE-GGA, Alexandria via LeMat-Bulk).

Results
DOS at the Fermi energy = 0.68 states/eV/atom
SG = Cm (8)

Unit cell a=4.978 b=2.936 c=9.199 alpha=90.00 beta=104.33 gamma=90.00
Sites, in units of the cell vectors:
Ru1 0.882 0.000 0.660
Ru2 0.882 0.500 0.160
Ir1 0.450 0.000 0.201
Ir2 0.450 0.500 0.701
Hg1 0.161 0.000 0.430
Hg2 0.161 0.500 0.930
Ti1 0.665 0.000 0.937
Ti2 0.665 0.500 0.437



Model z:
# TiHgIrRu

An optimized crystal structure of TiHgIrRu (PBE-GGA, Alexandria via LeMat-Bulk).

Results
DOS at the Fermi energy = 0.95 states/eV/atom
SG = Pmmm (47)

Unit cell a=4.115 b=4.103 c=3.749 alpha=90.00 beta=90.00 gamma=90.00
Sites, in units of the cell vectors:
Ru1 0.500 0.000 0.000
Ir1 0.000 0.500 0.000
Hg1 0.000 0.000 0.500
Ti1 0.500 0.500 0.500



Which is most stable? The ranking, best first, is model z, model x, model y, model w.